! GGA-PBE Ca2Zn9Au6, relaxed; values from VASP
&SYSTEM
  ibrav = 0, nat = 17, ntyp = 3
/
ATOMIC_SPECIES
Au 196.97 Au.upf
Zn 65.41 Zn.upf
Ca 40.08 Ca.upf
CELL_PARAMETERS angstrom
-1.177 4.229 3.176
-3.837 -3.628 -1.213
3.327 -7.085 10.668
ATOMIC_POSITIONS angstrom
Au -2.951 -1.009 0.250
Zn -1.970 -0.843 2.704
Zn -1.382 -2.958 1.116
Ca 2.219 -4.725 7.115
Zn -0.844 -3.242 6.316
Au 0.165 -3.136 8.859
Zn 2.201 -3.826 10.534
Zn 0.282 -5.640 9.927
Au -0.965 -0.729 5.235
Au -0.722 -5.755 7.396
Au -1.852 -3.348 3.772
Au -2.064 1.610 1.713
Zn 0.871 -7.755 8.339
Zn -0.051 0.971 3.310
Zn 1.075 -1.428 6.922
Zn -0.255 -5.356 4.728
Ca 1.108 -2.360 3.553
! Formation energy from the elements = -0.318 eV/atom
! Density of states at the Fermi level = 4.6 states/eV/cell